## RbHgF3 (PBE-GGA)

Data for an optimized crystal structure of RbHgF3.

Unit cell a=6.3648 b=6.3648 c=17.9504 alpha=90.00 beta=90.00 gamma=120.00
Space group R-3 (No. 148, hexagonal axes)
Asymmetric unit:
Rb (0.0000, 0.0000, 0.1340)
Hg (0.0000, 0.0000, 0.3448)
F (0.0189, 0.4097, 0.9264)

Values from the calculation:
VASP energy in Ry/atom: -0.247
Formation energy from raw total energies in eV per atom: -1.9790
D(E_F) in states/eV/cell: 0.000

=====

## Rb5HgF6 (PBE-GGA)

Data for an optimized crystal structure of Rb5HgF6.

Unit cell a=6.9653 b=12.0724 c=6.9492 alpha=90.00 beta=109.41 gamma=90.00
Space group C2/m (No. 12)
Asymmetric unit:
Rb (0.0000, 0.0000, 0.0000)
Rb (0.0000, 0.1673, 0.5000)
Rb (0.0000, 0.3358, 0.0000)
Hg (0.0000, 0.5000, 0.5000)
F (0.2448, 0.5000, 0.2549)
F (0.2473, 0.3361, 0.7497)

Values from the calculation:
VASP energy in Ry/atom: -0.272
Formation energy from raw total energies in eV per atom: -2.3359
D(E_F) in states/eV/cell: 6.206

=====

## Rb2HgF (PBE-GGA)

Data for an optimized crystal structure of Rb2HgF.

Unit cell a=3.6748 b=3.6748 c=9.0327 alpha=90.00 beta=90.00 gamma=90.00
Space group P4/mmm (No. 123)
Asymmetric unit:
Rb (0.0000, 0.0000, 0.1890)
Hg (0.5000, 0.5000, 0.5000)
F (0.5000, 0.5000, 0.0000)

Values from the calculation:
Energy above the most stable polymorph in this dataset in kcal/mol of atoms: 0.90
VASP energy in Ry/atom: -0.171
Formation energy from raw total energies in eV per atom: -1.3011
D(E_F) in states/eV/cell: 0.866

=====

## RbHg4F6 (PBE-GGA)

Data for an optimized crystal structure of RbHg4F6.

Unit cell a=6.4619 b=6.4619 c=11.0765 alpha=90.00 beta=90.00 gamma=90.00
Space group I-42m (No. 121)
Asymmetric unit:
Rb (0.0000, 0.0000, 0.0000)
Hg (0.1455, 0.1455, 0.3816)
F (0.0000, 0.5000, 0.0000)
F (0.1545, 0.1545, 0.7824)

Values from the calculation:
VASP energy in Ry/atom: -0.189
Formation energy from raw total energies in eV per atom: -1.3571
D(E_F) in states/eV/cell: 7.686

=====

## RbHg7F12 (PBE-GGA)

Data for an optimized crystal structure of RbHg7F12.

Unit cell a=9.0209 b=9.0209 c=9.0209 alpha=90.00 beta=90.00 gamma=90.00
Space group Im-3 (No. 204)
Asymmetric unit:
Rb (0.0000, 0.0000, 0.0000)
Hg (0.0000, 0.0000, 0.5000)
Hg (0.2500, 0.2500, 0.2500)
F (0.0000, 0.3038, 0.1780)

Values from the calculation:
VASP energy in Ry/atom: -0.197
Formation energy from raw total energies in eV per atom: -1.4017
D(E_F) in states/eV/cell: 6.281

=====

## RbHgF3 (PBE-GGA)

Data for an optimized crystal structure of RbHgF3.

Unit cell a=4.3166 b=4.3166 c=13.6847 alpha=90.00 beta=90.00 gamma=120.00
Space group P6_3/mmc (No. 194)
Asymmetric unit:
Rb (0.0000, 0.0000, 0.0000)
Hg (0.3333, 0.6667, 0.2500)
F (0.0000, 0.0000, 0.2500)
F (0.3333, 0.6667, 0.0959)

Values from the calculation:
VASP energy in Ry/atom: -0.248
Formation energy from raw total energies in eV per atom: -1.9960
D(E_F) in states/eV/cell: 0.000

=====

## RbHgF (PBE-GGA)

Data for an optimized crystal structure of RbHgF.

Unit cell a=3.8456 b=5.2697 c=18.0375 alpha=90.00 beta=90.00 gamma=90.00
Space group Immm (No. 71)
Asymmetric unit:
Rb (0.0000, 0.0000, 0.1771)
Hg (0.0000, 0.2480, 0.5000)
F (0.0000, 0.0000, 0.3216)

Values from the calculation:
Energy above the most stable polymorph in this dataset in kcal/mol of atoms: 5.38
VASP energy in Ry/atom: -0.186
Formation energy from raw total energies in eV per atom: -1.4884
D(E_F) in states/eV/cell: 1.973

=====

## RbHgF3 (PBE-GGA)

Data for an optimized crystal structure of RbHgF3.

Unit cell a=5.0065 b=5.0065 c=5.0065 alpha=90.00 beta=90.00 gamma=90.00
Space group Pm-3m (No. 221)
Asymmetric unit:
Rb (0.0000, 0.0000, 0.0000)
Hg (0.5000, 0.5000, 0.5000)
F (0.0000, 0.0000, 0.5000)

Values from the calculation:
VASP energy in Ry/atom: -0.176
Formation energy from raw total energies in eV per atom: -1.0230
D(E_F) in states/eV/cell: 9.579

=====

## Rb2Hg3F8 (PBE-GGA)

Data for an optimized crystal structure of Rb2Hg3F8.

Unit cell a=13.1822 b=7.3313 c=6.2032 alpha=90.00 beta=110.68 gamma=90.00
Space group C2/m (No. 12)
Asymmetric unit:
Rb (0.2181, 0.0000, 0.1635)
Hg (0.0000, 0.2427, 0.5000)
Hg (0.0000, 0.5000, 0.0000)
F (0.0954, 0.5000, 0.4165)
F (0.1020, 0.2874, 0.8906)
F (0.1074, 0.0000, 0.4715)

Values from the calculation:
VASP energy in Ry/atom: -0.238
Formation energy from raw total energies in eV per atom: -1.8634
D(E_F) in states/eV/cell: 0.000

=====

## Rb3HgF8 (PBE-GGA)

Data for an optimized crystal structure of Rb3HgF8.

Unit cell a=6.2874 b=6.2874 c=12.1739 alpha=90.00 beta=90.00 gamma=90.00
Space group I4/mmm (No. 139)
Asymmetric unit:
Rb (0.0000, 0.0000, 0.0000)
Rb (0.0000, 0.5000, 0.2500)
Hg (0.0000, 0.0000, 0.5000)
F (0.2081, 0.2081, 0.3928)

Values from the calculation:
VASP energy in Ry/atom: -0.237
Formation energy from raw total energies in eV per atom: -1.7149
D(E_F) in states/eV/cell: 17.225

=====

## Rb3HgF5 (PBE-GGA)

Data for an optimized crystal structure of Rb3HgF5.

Unit cell a=7.6147 b=7.6147 c=13.7189 alpha=90.00 beta=90.00 gamma=90.00
Space group I4/mcm (No. 140)
Asymmetric unit:
Rb (0.0000, 0.0000, 0.2500)
Rb (0.1731, 0.3269, 0.0000)
Hg (0.0000, 0.5000, 0.2500)
F (0.0000, 0.0000, 0.0000)
F (0.1553, 0.3447, 0.3543)

Values from the calculation:
VASP energy in Ry/atom: -0.267
Formation energy from raw total energies in eV per atom: -2.2390
D(E_F) in states/eV/cell: 0.000

=====

## Rb8Hg6F (PBE-GGA)

Data for an optimized crystal structure of Rb8Hg6F.

Unit cell a=11.0981 b=11.0981 c=19.9093 alpha=90.00 beta=90.00 gamma=120.00
Space group R-3 (No. 148, hexagonal axes)
Asymmetric unit:
Rb (0.0000, 0.0000, 0.1185)
Rb (0.0020, 0.7815, 0.5872)
Hg (0.0398, 0.5894, 0.4361)
F (0.0000, 0.0000, 0.5000)

Values from the calculation:
VASP energy in Ry/atom: -0.092
Formation energy from raw total energies in eV per atom: -0.4848
D(E_F) in states/eV/cell: 24.667

=====

Which formula does entry 5 have? RbHg7F12